(1)
Material: TaTlRh2W
Method: DFT, GGA-PBE
State: relaxed

ρ, g/cm³: 11.44
DOS(E_F), states/eV/f.u.: 9.02
Space group: P4/mmm, No. 123
ΔH_f (0 K), kJ/mol of atoms: 181
Final energy, eV per formula unit: -32.517

Unit cell a=4.632 b=4.632 c=5.243 alpha=90.00 beta=90.00 gamma=90.00
Sites, in units of the cell vectors:
Ta (0.000, 0.000, 0.000)
Tl (0.000, 0.000, 0.500)
Rh (0.000, 0.500, 0.000)
Rh (0.500, 0.000, 0.000)
W (0.500, 0.500, 0.500)

***

(2)
Material: TaCrN2
Method: DFT, GGA-PBE
State: relaxed

ρ, g/cm³: 11.67
ΔE_f (raw), eV/f.u.: -0.57
DOS(E_F), states/eV/f.u.: 2.22
Space group: Fm-3m, No. 225
Final energy, eV per formula unit: -38.699

Unit cell a=5.295 b=5.295 c=5.295 alpha=90.00 beta=90.00 gamma=90.00
Sites, in units of the cell vectors:
Ta (0.000, 0.000, 0.000)
Ta (0.000, 0.500, 0.500)
Ta (0.500, 0.000, 0.500)
Ta (0.500, 0.500, 0.000)
Cr (0.000, 0.000, 0.500)
Cr (0.000, 0.500, 0.000)
Cr (0.500, 0.000, 0.000)
Cr (0.500, 0.500, 0.500)
N (0.250, 0.250, 0.250)
N (0.250, 0.250, 0.750)
N (0.250, 0.750, 0.250)
N (0.250, 0.750, 0.750)
N (0.750, 0.250, 0.250)
N (0.750, 0.250, 0.750)
N (0.750, 0.750, 0.250)
N (0.750, 0.750, 0.750)

***

(3)
Material: Ba2TmPbO5
Method: DFT, GGA-PBE
State: relaxed

ρ, g/cm³: 7.52
ΔE_f (raw), eV/f.u.: -21.22
DOS(E_F), states/eV/f.u.: 1.77
Space group: Cmc2_1, No. 36
Final energy, eV per formula unit: -58.039

Unit cell a=8.092 b=8.092 c=11.374 alpha=90.00 beta=90.00 gamma=154.32
Sites, in units of the cell vectors:
Ba (0.126, 0.874, 0.500)
Ba (0.134, 0.866, 0.060)
Ba (0.866, 0.134, 0.560)
Ba (0.874, 0.126, 0.000)
Tm (0.225, 0.775, 0.785)
Tm (0.775, 0.225, 0.285)
Pb (0.491, 0.509, 0.262)
Pb (0.509, 0.491, 0.762)
O (0.080, 0.920, 0.817)
O (0.280, 0.720, 0.414)
O (0.290, 0.710, 0.158)
O (0.365, 0.635, 0.788)
O (0.499, 0.501, 0.070)
O (0.501, 0.499, 0.570)
O (0.635, 0.365, 0.288)
O (0.710, 0.290, 0.658)
O (0.720, 0.280, 0.914)
O (0.920, 0.080, 0.317)

***

(4)
Material: Cs4CeNp3Se8
Method: DFT, GGA-PBE
State: relaxed

ρ, g/cm³: 6.08
ΔE_f (raw), eV/f.u.: -21.42
DOS(E_F), states/eV/f.u.: 31.07
Space group: R-3m, No. 166
Final energy, eV per formula unit: -97.468

Unit cell a=9.770 b=9.770 c=9.770 alpha=52.93 beta=52.93 gamma=52.93
Sites, in units of the cell vectors:
Cs (0.000, 0.000, 0.000)
Cs (0.000, 0.500, 0.500)
Cs (0.500, 0.000, 0.500)
Cs (0.500, 0.500, 0.000)
Ce (0.500, 0.500, 0.500)
Np (0.000, 0.000, 0.500)
Np (0.000, 0.500, 0.000)
Np (0.500, 0.000, 0.000)
Se (0.225, 0.731, 0.731)
Se (0.228, 0.228, 0.228)
Se (0.269, 0.269, 0.775)
Se (0.269, 0.775, 0.269)
Se (0.731, 0.225, 0.731)
Se (0.731, 0.731, 0.225)
Se (0.772, 0.772, 0.772)
Se (0.775, 0.269, 0.269)